VASP calculation (GGA+U) on a geometry-optimized NdMn3Cr4O12 structure.

Results
**SG**: Im-3, No. 204
**Raw total energy**: -157.33 eV/cell
**Magnetic moment**: 1.20 μB per atom

Lattice parameters (Å, degrees): 6.506 6.506 6.506 109.47 109.47 109.47
Each line ends with the local moment (μB).
Fractional coordinates of all 20 atoms:
Nd  0.000  0.000  0.000  0.03
Mn  0.000  0.500  0.500  4.00
Mn  0.500  0.500  0.000  4.00
Mn  0.500  0.000  0.500  4.00
Cr  0.500  0.000  0.000  2.94
Cr  0.500  0.500  0.500  2.94
Cr  0.000  0.500  0.000  2.94
Cr  0.000  0.000  0.500  2.94
O  0.307  0.825  0.132  -0.04
O  0.693  0.175  0.868  -0.04
O  0.693  0.825  0.518  -0.04
O  0.868  0.693  0.175  -0.04
O  0.825  0.132  0.307  -0.04
O  0.175  0.482  0.307  -0.04
O  0.482  0.307  0.175  -0.04
O  0.175  0.868  0.693  -0.04
O  0.307  0.175  0.482  -0.04
O  0.132  0.307  0.825  -0.04
O  0.825  0.518  0.693  -0.04
O  0.518  0.693  0.825  -0.04